The following is a PBE-GGA calculation of a relaxed structure of AcAgBi, from Alexandria.

The energy above the most stable polymorph in this dataset is 0.000 eV per formula unit. Its energy relative to the elements is -1.73 eV/f.u.

The space group is C2/m (No. 12) and the conventional cell measures 12.258, 4.823 and 7.981 Å, with angles of 90.00, 128.26 and 90.00 degrees. Symmetry generates all atoms from Ac at (0.037, 0.000, 0.287), Ag at (0.140, 0.500, 0.087) and Bi at (0.184, 0.500, 0.719).



The following is a PBE-GGA calculation of a relaxed structure of Ac2AgBi, from Alexandria.

The energy above the most stable polymorph in this dataset is 0.000 eV per formula unit. Its energy relative to the elements is -2.08 eV/f.u.

The space group is P4/mmm (No. 123) and the conventional cell measures 5.618, 5.618 and 4.292 Å, with angles of 90.00, 90.00 and 90.00 degrees. Symmetry generates all atoms from Ac at (0.000, 0.500, 0.000), Ag at (0.000, 0.000, 0.500) and Bi at (0.500, 0.500, 0.500).



The following is a PBE-GGA calculation of a relaxed structure of AcCeAgBi, from Alexandria.

Its energy relative to the elements is -1.53 eV/f.u.

The space group is F-43m (No. 216) and the conventional cell measures 7.968, 7.968 and 7.968 Å, with angles of 90.00, 90.00 and 90.00 degrees. Symmetry generates all atoms from Ac at (0.000, 0.000, 0.000), Ce at (0.000, 0.000, 0.500), Ag at (0.250, 0.250, 0.750) and Bi at (0.250, 0.250, 0.250).



The following is a PBE-GGA calculation of a relaxed structure of AcCuAgBi, from Alexandria.

Its energy relative to the elements is -0.89 eV/f.u.

The space group is F-43m (No. 216) and the conventional cell measures 7.428, 7.428 and 7.428 Å, with angles of 90.00, 90.00 and 90.00 degrees. Symmetry generates all atoms from Ac at (0.000, 0.000, 0.000), Cu at (0.250, 0.250, 0.750), Ag at (0.250, 0.250, 0.250) and Bi at (0.000, 0.000, 0.500).



The following is a PBE-GGA calculation of a relaxed structure of AcErAgBi, from Alexandria.

Its energy relative to the elements is -1.49 eV/f.u.

The space group is F-43m (No. 216) and the conventional cell measures 7.855, 7.855 and 7.855 Å, with angles of 90.00, 90.00 and 90.00 degrees. Symmetry generates all atoms from Ac at (0.000, 0.000, 0.000), Er at (0.000, 0.000, 0.500), Ag at (0.250, 0.250, 0.250) and Bi at (0.250, 0.250, 0.750).



The following is a PBE-GGA calculation of a relaxed structure of AcGdAgBi, from Alexandria.

Its energy relative to the elements is -1.82 eV/f.u.

The space group is F-43m (No. 216) and the conventional cell measures 7.920, 7.920 and 7.920 Å, with angles of 90.00, 90.00 and 90.00 degrees. Symmetry generates all atoms from Ac at (0.000, 0.000, 0.000), Gd at (0.000, 0.000, 0.500), Ag at (0.250, 0.250, 0.750) and Bi at (0.250, 0.250, 0.250).



The following is a PBE-GGA calculation of a relaxed structure of Ac2Ag4Ge3Bi, from Alexandria.

Its energy relative to the elements is -3.69 eV/f.u.

The space group is P-4m2 (No. 115) and the conventional cell measures 4.579, 4.579 and 11.530 Å, with angles of 90.00, 90.00 and 90.00 degrees. Symmetry generates all atoms from Ac at (0.000, 0.500, 0.227), Ag at (0.000, 0.000, 0.000), Ag at (0.000, 0.500, 0.652), Ag at (0.500, 0.500, 0.000), Ge at (0.000, 0.500, 0.873), Ge at (0.500, 0.500, 0.500) and Bi at (0.000, 0.000, 0.500).



The following is a PBE-GGA calculation of a relaxed structure of AcAgHgBi, from Alexandria.

Its energy relative to the elements is -1.52 eV/f.u.

The space group is F-43m (No. 216) and the conventional cell measures 7.700, 7.700 and 7.700 Å, with angles of 90.00, 90.00 and 90.00 degrees. Symmetry generates all atoms from Ac at (0.000, 0.000, 0.000), Ag at (0.250, 0.250, 0.750), Hg at (0.250, 0.250, 0.250) and Bi at (0.000, 0.000, 0.500).



The following is a PBE-GGA calculation of a relaxed structure of AcAgBiIr, from Alexandria.

Its energy relative to the elements is -0.60 eV/f.u.

The space group is F-43m (No. 216) and the conventional cell measures 7.336, 7.336 and 7.336 Å, with angles of 90.00, 90.00 and 90.00 degrees. Symmetry generates all atoms from Ac at (0.000, 0.000, 0.000), Ag at (0.250, 0.250, 0.250), Bi at (0.000, 0.000, 0.500) and Ir at (0.250, 0.250, 0.750).



The following is a PBE-GGA calculation of a relaxed structure of KAcAgBi, from Alexandria.

Its energy relative to the elements is -1.54 eV/f.u.

The space group is F-43m (No. 216) and the conventional cell measures 8.153, 8.153 and 8.153 Å, with angles of 90.00, 90.00 and 90.00 degrees. Symmetry generates all atoms from K at (0.000, 0.000, 0.000), Ac at (0.000, 0.000, 0.500), Ag at (0.250, 0.250, 0.250) and Bi at (0.250, 0.250, 0.750).



The following is a PBE-GGA calculation of a relaxed structure of AcLaAgBi, from Alexandria.

Its energy relative to the elements is -2.03 eV/f.u.

The space group is F-43m (No. 216) and the conventional cell measures 8.009, 8.009 and 8.009 Å, with angles of 90.00, 90.00 and 90.00 degrees. Symmetry generates all atoms from Ac at (0.000, 0.000, 0.000), La at (0.000, 0.000, 0.500), Ag at (0.250, 0.250, 0.250) and Bi at (0.250, 0.250, 0.750).



The following is a PBE-GGA calculation of a relaxed structure of Li3Ac2AgBi4, from Alexandria.

Its energy relative to the elements is -6.04 eV/f.u.

The space group is P-4m2 (No. 115) and the conventional cell measures 4.932, 4.932 and 11.205 Å, with angles of 90.00, 90.00 and 90.00 degrees. Symmetry generates all atoms from Li at (0.000, 0.000, 0.000), Li at (0.000, 0.500, 0.617), Ac at (0.000, 0.500, 0.256), Ag at (0.500, 0.500, 0.000), Bi at (0.000, 0.000, 0.500), Bi at (0.000, 0.500, 0.855) and Bi at (0.500, 0.500, 0.500).



The following is a PBE-GGA calculation of a relaxed structure of AcMgAgBi, from Alexandria.

Its energy relative to the elements is -1.24 eV/f.u.

The space group is F-43m (No. 216) and the conventional cell measures 7.777, 7.777 and 7.777 Å, with angles of 90.00, 90.00 and 90.00 degrees. Symmetry generates all atoms from Ac at (0.000, 0.000, 0.000), Mg at (0.000, 0.000, 0.500), Ag at (0.250, 0.250, 0.250) and Bi at (0.250, 0.250, 0.750).



The following is a PBE-GGA calculation of a relaxed structure of AcAgBi4O8, from Alexandria.

The formation energy without anion corrections comes out at -1362.7 meV per atom.

The space group is R3m (No. 160, hexagonal axes) and the conventional cell measures 7.1387, 7.1387 and 17.7191 Å, with angles of 90.00, 90.00 and 120.00 degrees. Symmetry generates all atoms from Ac at (0.0000, 0.0000, 0.0000), Ag at (0.0000, 0.0000, 0.6132), Bi at (0.0000, 0.0000, 0.2427), Bi at (0.1688, 0.3375, 0.4529), O at (0.0000, 0.0000, 0.3833), O at (0.0000, 0.0000, 0.8619), O at (0.0117, 0.5059, 0.8566) and O at (0.0301, 0.5151, 0.3791).



The following is a PBE-GGA calculation of a relaxed structure of AcAgBiO, from Alexandria.

The formation energy without anion corrections comes out at -1247.9 meV per atom.

The space group is I4mm (No. 107) and the conventional cell measures 3.660, 3.660 and 14.385 Å, with angles of 90.00, 90.00 and 90.00 degrees. Symmetry generates all atoms from Ac at (0.000, 0.000, 0.000), Ag at (0.000, 0.000, 0.317), Bi at (0.000, 0.000, 0.712) and O at (0.000, 0.000, 0.481).



The following is a PBE-GGA calculation of a relaxed structure of Ac2Ag2BiO6, from Alexandria.

The formation energy without anion corrections comes out at -1492.3 meV per atom.

The space group is R-3m (No. 166, hexagonal axes) and the conventional cell measures 6.5101, 6.5101 and 16.5333 Å, with angles of 90.00, 90.00 and 120.00 degrees. Symmetry generates all atoms from Ac at (0.0000, 0.0000, 0.2059), Ag at (0.0000, 0.0000, 0.4129), Bi at (0.0000, 0.0000, 0.0000) and O at (0.0493, 0.5247, 0.7629).



The following is a PBE-GGA calculation of a relaxed structure of AcAgBiO4, from Alexandria.

The formation energy without anion corrections comes out at -1540.7 meV per atom.

The space group is Cmcm (No. 63) and the conventional cell measures 6.598, 10.269 and 7.827 Å, with angles of 90.00, 90.00 and 90.00 degrees. Symmetry generates all atoms from Ac at (0.000, 0.000, 0.000), Ag at (0.000, 0.307, 0.250), Bi at (0.000, 0.353, 0.750), O at (0.000, 0.241, 0.516) and O at (0.248, 0.012, 0.250).



The following is a PBE-GGA calculation of a relaxed structure of AcAgBiP, from Alexandria.

Its energy relative to the elements is -1.27 eV/f.u.

The space group is F-43m (No. 216) and the conventional cell measures 7.468, 7.468 and 7.468 Å, with angles of 90.00, 90.00 and 90.00 degrees. Symmetry generates all atoms from Ac at (0.000, 0.000, 0.000), Ag at (0.250, 0.250, 0.750), Bi at (0.000, 0.000, 0.500) and P at (0.250, 0.250, 0.250).



The following is a PBE-GGA calculation of a relaxed structure of AcPaAgBi, from Alexandria.

Its energy relative to the elements is 0.03 eV/f.u.

The space group is F-43m (No. 216) and the conventional cell measures 7.874, 7.874 and 7.874 Å, with angles of 90.00, 90.00 and 90.00 degrees. Symmetry generates all atoms from Ac at (0.000, 0.000, 0.000), Pa at (0.000, 0.000, 0.500), Ag at (0.250, 0.250, 0.250) and Bi at (0.250, 0.250, 0.750).



The following is a PBE-GGA calculation of a relaxed structure of Ac2AgBi4Pd3, from Alexandria.

Its energy relative to the elements is -5.93 eV/f.u.

The space group is P-4m2 (No. 115) and the conventional cell measures 4.861, 4.861 and 11.314 Å, with angles of 90.00, 90.00 and 90.00 degrees. Symmetry generates all atoms from Ac at (0.000, 0.500, 0.241), Ag at (0.500, 0.500, 0.000), Bi at (0.000, 0.000, 0.500), Bi at (0.000, 0.500, 0.868), Bi at (0.500, 0.500, 0.500), Pd at (0.000, 0.000, 0.000) and Pd at (0.000, 0.500, 0.628).



The following is a PBE-GGA calculation of a relaxed structure of Ac2AgBi3Pd4, from Alexandria.

Its energy relative to the elements is -6.22 eV/f.u.

The space group is P-4m2 (No. 115) and the conventional cell measures 4.835, 4.835 and 10.766 Å, with angles of 90.00, 90.00 and 90.00 degrees. Symmetry generates all atoms from Ac at (0.000, 0.500, 0.242), Ag at (0.000, 0.000, 0.500), Bi at (0.000, 0.500, 0.871), Bi at (0.500, 0.500, 0.500), Pd at (0.000, 0.000, 0.000), Pd at (0.000, 0.500, 0.621) and Pd at (0.500, 0.500, 0.000).



The following is a PBE-GGA calculation of a relaxed structure of RbAcAgBi, from Alexandria.

Its energy relative to the elements is -1.25 eV/f.u.

The space group is F-43m (No. 216) and the conventional cell measures 8.286, 8.286 and 8.286 Å, with angles of 90.00, 90.00 and 90.00 degrees. Symmetry generates all atoms from Rb at (0.000, 0.000, 0.000), Ac at (0.000, 0.000, 0.500), Ag at (0.250, 0.250, 0.750) and Bi at (0.250, 0.250, 0.250).



The following is a PBE-GGA calculation of a relaxed structure of Ac2AgBi4Rh3, from Alexandria.

Its energy relative to the elements is -4.83 eV/f.u.

The space group is P-4m2 (No. 115) and the conventional cell measures 4.842, 4.842 and 10.920 Å, with angles of 90.00, 90.00 and 90.00 degrees. Symmetry generates all atoms from Ac at (0.000, 0.500, 0.243), Ag at (0.500, 0.500, 0.000), Bi at (0.000, 0.000, 0.500), Bi at (0.000, 0.500, 0.865), Bi at (0.500, 0.500, 0.500), Rh at (0.000, 0.000, 0.000) and Rh at (0.000, 0.500, 0.621).



The following is a PBE-GGA calculation of a relaxed structure of AcAgBiRu, from Alexandria.

Its energy relative to the elements is 0.22 eV/f.u.

The space group is F-43m (No. 216) and the conventional cell measures 7.303, 7.303 and 7.303 Å, with angles of 90.00, 90.00 and 90.00 degrees. Symmetry generates all atoms from Ac at (0.000, 0.000, 0.000), Ag at (0.250, 0.250, 0.250), Bi at (0.000, 0.000, 0.500) and Ru at (0.250, 0.250, 0.750).



The following is a PBE-GGA calculation of a relaxed structure of Ac2AgBiS5, from Alexandria.

The formation energy without anion corrections comes out at -1275.6 meV per atom.

The space group is Cmc2_1 (No. 36) and the conventional cell measures 4.303, 17.872 and 12.087 Å, with angles of 90.00, 90.00 and 90.00 degrees. Symmetry generates all atoms from Ac at (0.000, 0.121, 0.000), Ac at (0.000, 0.127, 0.378), Ag at (0.000, 0.235, 0.748), Bi at (0.000, 0.414, 0.174), S at (0.000, 0.029, 0.777), S at (0.000, 0.298, 0.021), S at (0.000, 0.305, 0.353), S at (0.000, 0.367, 0.689) and S at (0.000, 0.490, 0.980).



The following is a PBE-GGA calculation of a relaxed structure of AcAgBiSb, from Alexandria.

The formation energy without anion corrections comes out at -315.4 meV per atom.

The space group is F-43m (No. 216) and the conventional cell measures 7.826, 7.826 and 7.826 Å, with angles of 90.00, 90.00 and 90.00 degrees. Symmetry generates all atoms from Ac at (0.000, 0.000, 0.000), Ag at (0.250, 0.250, 0.750), Bi at (0.000, 0.000, 0.500) and Sb at (0.250, 0.250, 0.250).



These records have E values of -4.1913 -4.2566 -4.5761 -3.9576 -4.2242 -6.6841 -4.1049 -3.1653 -5.0759 -3.3689 -4.4503 -3.8372 -3.4194 -5.8019 -5.1976 -5.8150 -5.9227 -4.3792 -5.0758 -4.8100 -4.9703 -3.2639 -5.3475 -4.9741 -5.2296 -4.0562 eV/atom, in the order they appear.
These records have total magnetic moment values of 0.000 0.000 0.621 0.000 0.258 2.088 0.000 0.000 0.000 0.000 0.000 0.000 0.000 0.000 0.000 0.000 0.060 0.000 0.826 0.000 0.000 0.000 0.000 0.000 0.000 0.000 μB per atom, in the order they appear.